No. 1
First-principles (GGA-PBE) data for an optimized crystal structure of HoTmPu4, as listed in Alexandria via LeMat-Bulk.

Output
* E: -10.835 eV per atom
* D(E_F): 27.54 states/eV/f.u.
* ρ: 13.3 g cm⁻³
* energy relative to the elements: 0.227 eV/atom

Lattice parameters (Å, degrees): 6.1405 6.1405 6.1405 60.00 60.00 60.00
Sites, in units of the cell vectors:
1 Pu 0.6250 0.1250 0.6250
2 Pu 0.6250 0.6250 0.1250
3 Pu 0.6250 0.6250 0.6250
4 Pu 0.1250 0.6250 0.6250
5 Tm 0.0000 0.0000 0.0000
6 Ho 0.2500 0.2500 0.2500

---

No. 2
First-principles (GGA-PBE) data for an optimized crystal structure of AcTb2Ir9, as listed in Alexandria via LeMat-Bulk.

Output
* E: -8.298 eV per atom
* D(E_F): 14.12 states/eV/f.u.
* ρ: 17.1 g cm⁻³
* energy relative to the elements: -0.538 eV/atom

Lattice parameters (Å, degrees): 5.3948 5.3948 9.3065 73.15 73.15 60.00
Sites, in units of the cell vectors:
1 Ir 0.0835 0.5829 0.7507
2 Ir 0.6672 0.6672 0.9984
3 Ir 0.3328 0.3328 0.0016
4 Ir 0.5000 0.5000 0.5000
5 Ir 0.4171 0.4171 0.2493
6 Ir 0.4171 0.9165 0.2493
7 Ir 0.5829 0.5829 0.7507
8 Ir 0.9165 0.4171 0.2493
9 Ir 0.5829 0.0835 0.7507
10 Ac 0.0000 0.0000 0.0000
11 Tb 0.1401 0.1401 0.5797
12 Tb 0.8599 0.8599 0.4203

---

No. 3
First-principles (GGA-PBE) data for an optimized crystal structure of Li2Pm3Au6, as listed in Alexandria via LeMat-Bulk.

Output
* E: -4.041 eV per atom
* D(E_F): 5.34 states/eV/f.u.
* ρ: 11.2 g cm⁻³
* energy relative to the elements: -0.610 eV/atom

Lattice parameters (Å, degrees): 4.5694 4.5694 12.0684 100.91 100.91 90.00
Sites, in units of the cell vectors:
1 Au 0.9037 0.4037 0.8073
2 Au 0.4037 0.9037 0.8073
3 Au 0.3191 0.3191 0.6383
4 Au 0.0963 0.5963 0.1927
5 Au 0.5963 0.0963 0.1927
6 Au 0.6809 0.6809 0.3617
7 Pm 0.0000 0.0000 0.0000
8 Pm 0.1916 0.1916 0.3832
9 Pm 0.8084 0.8084 0.6168
10 Li 0.4458 0.4458 0.8915
11 Li 0.5542 0.5542 0.1085

---

Please write out number 2 again, unchanged.
First-principles (GGA-PBE) data for an optimized crystal structure of AcTb2Ir9, as listed in Alexandria via LeMat-Bulk.

Output
* E: -8.298 eV per atom
* D(E_F): 14.12 states/eV/f.u.
* ρ: 17.1 g cm⁻³
* energy relative to the elements: -0.538 eV/atom

Lattice parameters (Å, degrees): 5.3948 5.3948 9.3065 73.15 73.15 60.00
Sites, in units of the cell vectors:
1 Ir 0.0835 0.5829 0.7507
2 Ir 0.6672 0.6672 0.9984
3 Ir 0.3328 0.3328 0.0016
4 Ir 0.5000 0.5000 0.5000
5 Ir 0.4171 0.4171 0.2493
6 Ir 0.4171 0.9165 0.2493
7 Ir 0.5829 0.5829 0.7507
8 Ir 0.9165 0.4171 0.2493
9 Ir 0.5829 0.0835 0.7507
10 Ac 0.0000 0.0000 0.0000
11 Tb 0.1401 0.1401 0.5797
12 Tb 0.8599 0.8599 0.4203

---

Copy entry 3 word for word.
First-principles (GGA-PBE) data for an optimized crystal structure of Li2Pm3Au6, as listed in Alexandria via LeMat-Bulk.

Output
* E: -4.041 eV per atom
* D(E_F): 5.34 states/eV/f.u.
* ρ: 11.2 g cm⁻³
* energy relative to the elements: -0.610 eV/atom

Lattice parameters (Å, degrees): 4.5694 4.5694 12.0684 100.91 100.91 90.00
Sites, in units of the cell vectors:
1 Au 0.9037 0.4037 0.8073
2 Au 0.4037 0.9037 0.8073
3 Au 0.3191 0.3191 0.6383
4 Au 0.0963 0.5963 0.1927
5 Au 0.5963 0.0963 0.1927
6 Au 0.6809 0.6809 0.3617
7 Pm 0.0000 0.0000 0.0000
8 Pm 0.1916 0.1916 0.3832
9 Pm 0.8084 0.8084 0.6168
10 Li 0.4458 0.4458 0.8915
11 Li 0.5542 0.5542 0.1085

---

What did the second record say?
First-principles (GGA-PBE) data for an optimized crystal structure of AcTb2Ir9, as listed in Alexandria via LeMat-Bulk.

Output
* E: -8.298 eV per atom
* D(E_F): 14.12 states/eV/f.u.
* ρ: 17.1 g cm⁻³
* energy relative to the elements: -0.538 eV/atom

Lattice parameters (Å, degrees): 5.3948 5.3948 9.3065 73.15 73.15 60.00
Sites, in units of the cell vectors:
1 Ir 0.0835 0.5829 0.7507
2 Ir 0.6672 0.6672 0.9984
3 Ir 0.3328 0.3328 0.0016
4 Ir 0.5000 0.5000 0.5000
5 Ir 0.4171 0.4171 0.2493
6 Ir 0.4171 0.9165 0.2493
7 Ir 0.5829 0.5829 0.7507
8 Ir 0.9165 0.4171 0.2493
9 Ir 0.5829 0.0835 0.7507
10 Ac 0.0000 0.0000 0.0000
11 Tb 0.1401 0.1401 0.5797
12 Tb 0.8599 0.8599 0.4203

---

Question: Look up the energy relative to the elements of the second one.
Answer: -0.538 eV/atom